1.
VASP calculation (GGA-PBE) on crystalline Sm3Tl3GaTe8 at its relaxed geometry.

Calculated values
Total DFT energy (no corrections), eV/cell: -122.9
Raw formation energy, eV/atom: -0.803
Size of the total moment, μB per cell: 0.00
Crystal system: monoclinic
D(E_F), states/eV/f.u.: 7.647

Lattice parameters (Å, degrees): 15.3937 8.8855 9.6191 90.00 122.23 90.00
Closest atoms and distances in Å follow each position.
Space group C2/m (No. 12)
One atom of each set of equivalent atoms:
Sm 0.0000 0.0000 0.0000 x2  6 Te 3.14
Sm 0.2500 0.2500 0.0000 x4  6 Te 3.14
Tl 0.0000 0.5000 0.5000 x2  6 Te 3.42-3.45
Tl 0.2500 0.2500 0.5000 x4  6 Te 3.42-3.45
Ga 0.0000 0.5000 0.0000 x2  6 Te 2.91-2.92
Te 0.0090 0.2669 0.7938 x8  1 Ga 2.92, 2 Sm 3.14
Te 0.2233 0.5000 0.2056 x4  1 Ga 2.91, 2 Sm 3.14
Te 0.2406 0.0000 0.2219 x4  3 Sm 3.14, 3 Tl 3.42



2.
VASP calculation (GGA-PBE) on crystalline NdSm2Co at its relaxed geometry.

Calculated values
Total DFT energy (no corrections), eV/cell: -63.6
Size of the total moment, μB per cell: 0.00
Crystal system: trigonal
Formation energy, eV/atom: 0.025
D(E_F), states/eV/f.u.: 4.821
Polymorph energy (0 for the lowest one), meV per atom: 111

Lattice parameters (Å, degrees): 3.8512 3.8512 27.6573 90.00 90.00 120.00
Closest atoms and distances in Å follow each position.
Space group R3m (No. 160, hexagonal axes)
One atom of each set of equivalent atoms:
Nd 0.0000 0.0000 0.0000 x3  6 Sm 3.75-3.82, 6 Nd 3.85
Sm 0.0000 0.0000 0.2241 x3  3 Co 2.71
Sm 0.0000 0.0000 0.4455 x3  3 Co 2.71
Co 0.0000 0.0000 0.8349 x3  6 Sm 2.71



3.
VASP calculation (GGA-PBE) on crystalline ReSi2Ni at its relaxed geometry.

Calculated values
Total DFT energy (no corrections), eV/cell: -89.4
Raw formation energy, eV/atom: -0.184
Size of the total moment, μB per cell: 0.00
Crystal system: trigonal
D(E_F), states/eV/f.u.: 3.062

Lattice parameters (Å, degrees): 2.8893 2.8893 21.8219 90.00 90.00 120.00
Closest atoms and distances in Å follow each position.
Space group R3m (No. 160, hexagonal axes)
One atom of each set of equivalent atoms:
Re 0.0000 0.0000 0.0000 x3  6 Si 2.50-2.56
Si 0.0000 0.0000 0.5777 x3  3 Ni 2.46, 3 Re 2.56
Si 0.0000 0.0000 0.7520 x3  3 Ni 2.35, 3 Re 2.50
Ni 0.0000 0.0000 0.1614 x3  6 Si 2.35-2.46



4.
VASP calculation (GGA-PBE) on crystalline KRe2Sb at its relaxed geometry.

Calculated values
Total DFT energy (no corrections), eV/cell: -47.8
Raw formation energy, eV/atom: 1.557
Size of the total moment, μB per cell: 0.00
Crystal system: orthorhombic
D(E_F), states/eV/f.u.: 3.527

Lattice parameters (Å, degrees): 5.7084 10.5679 2.6974 90.00 90.00 90.00
Closest atoms and distances in Å follow each position.
Space group Cmmm (No. 65)
One atom of each set of equivalent atoms:
K 0.0000 0.0000 0.0000 x2  2 K 2.70, 2 Sb 2.85
Re 0.2500 0.2500 0.5000 x4  4 Re 2.70-2.85
Sb 0.0000 0.5000 0.0000 x2  2 Sb 2.70, 2 K 2.85